# PBE-GGA HfTcNiSb, relaxed
# DOS(E_F), states/eV/f.u.: 4.114
# Uncorrected energy, eV/atom: -7.77
# Formation energy without anion corrections, eV per atom: -0.219
data_HfTcNiSb
_cell_length_a 4.5386
_cell_length_b 4.5386
_cell_length_c 4.5386
_cell_angle_alpha 60.00
_cell_angle_beta 60.00
_cell_angle_gamma 60.00
_symmetry_space_group_name_H-M 'P 1'
_symmetry_Int_Tables_number 1
_symmetry_space_group_name_Hall 'P 1'
loop_
_atom_site_label
_atom_site_type_symbol
_atom_site_fract_x
_atom_site_fract_y
_atom_site_fract_z
Hf1 Hf 0.0000 0.0000 0.0000
Tc1 Tc 0.2500 0.2500 0.2500
Ni1 Ni 0.7500 0.7500 0.7500
Sb1 Sb 0.5000 0.5000 0.5000

---

# PBE-GGA AcCeZrO6, relaxed
# DOS(E_F), states/eV/f.u.: 7.820
# Uncorrected energy, eV/atom: -8.42
# Formation energy without anion corrections, eV per atom: -3.047
data_AcCeZrO6
_cell_length_a 5.8436
_cell_length_b 5.8436
_cell_length_c 10.2580
_cell_angle_alpha 90.00
_cell_angle_beta 90.00
_cell_angle_gamma 120.00
_symmetry_space_group_name_H-M 'P 1'
_symmetry_Int_Tables_number 1
_symmetry_space_group_name_Hall 'P 1'
loop_
_atom_site_label
_atom_site_type_symbol
_atom_site_fract_x
_atom_site_fract_y
_atom_site_fract_z
Ac1 Ac 0.0000 0.0000 0.0000
Ac2 Ac 0.0000 0.0000 0.5000
Ce1 Ce 0.3333 0.6667 0.2500
Ce2 Ce 0.6667 0.3333 0.7500
Zr1 Zr 0.3333 0.6667 0.7500
Zr2 Zr 0.6667 0.3333 0.2500
O1 O 0.0152 0.3660 0.6407
O2 O 0.0152 0.6492 0.8593
O3 O 0.3508 0.3660 0.8593
O4 O 0.3508 0.9848 0.6407
O5 O 0.3660 0.0152 0.1407
O6 O 0.3660 0.3508 0.3593
O7 O 0.6340 0.6492 0.6407
O8 O 0.6340 0.9848 0.8593
O9 O 0.6492 0.0152 0.3593
O10 O 0.6492 0.6340 0.1407
O11 O 0.9848 0.3508 0.1407
O12 O 0.9848 0.6340 0.3593

---

# PBE-GGA CeBeGaPd6, relaxed
# DOS(E_F), states/eV/f.u.: 6.284
# Uncorrected energy, eV/atom: -5.34
# Energy relative to the elements, eV per formula unit: -4.24
data_CeBeGaPd6
_cell_length_a 7.6367
_cell_length_b 7.6367
_cell_length_c 7.6367
_cell_angle_alpha 128.35
_cell_angle_beta 114.92
_cell_angle_gamma 87.60
_symmetry_space_group_name_H-M 'P 1'
_symmetry_Int_Tables_number 1
_symmetry_space_group_name_Hall 'P 1'
loop_
_atom_site_label
_atom_site_type_symbol
_atom_site_fract_x
_atom_site_fract_y
_atom_site_fract_z
Ce1 Ce 0.4684 0.2184 0.2500
Ce2 Ce 0.5316 0.7816 0.7500
Be1 Be 0.0000 0.0000 0.0000
Be2 Be 0.5000 0.0000 0.5000
Ga1 Ga 0.0000 0.0000 0.5000
Ga2 Ga 0.0000 0.5000 0.0000
Pd1 Pd 0.1315 0.4061 0.2905
Pd2 Pd 0.1315 0.8410 0.7254
Pd3 Pd 0.1724 0.9224 0.2500
Pd4 Pd 0.2543 0.5043 0.7500
Pd5 Pd 0.3844 0.1590 0.7905
Pd6 Pd 0.3844 0.5939 0.2254
Pd7 Pd 0.6156 0.4061 0.7746
Pd8 Pd 0.6156 0.8410 0.2095
Pd9 Pd 0.7457 0.4957 0.2500
Pd10 Pd 0.8276 0.0776 0.7500
Pd11 Pd 0.8685 0.1590 0.2746
Pd12 Pd 0.8685 0.5939 0.7095

---

# PBE-GGA CuAgPt2, relaxed
# DOS(E_F), states/eV/f.u.: 4.244
# Uncorrected energy, eV/atom: -4.75
# Relative energy among the computed polymorphs, meV per atom: 140.0
# Energy relative to the elements, eV per formula unit: 0.02
data_CuAgPt2
_cell_length_a 4.8084
_cell_length_b 4.8084
_cell_length_c 4.8622
_cell_angle_alpha 100.28
_cell_angle_beta 100.28
_cell_angle_gamma 33.99
_symmetry_space_group_name_H-M 'P 1'
_symmetry_Int_Tables_number 1
_symmetry_space_group_name_Hall 'P 1'
loop_
_atom_site_label
_atom_site_type_symbol
_atom_site_fract_x
_atom_site_fract_y
_atom_site_fract_z
Cu1 Cu 0.0000 0.0000 0.0000
Ag1 Ag 0.7521 0.7521 0.2339
Pt1 Pt 0.2594 0.2594 0.7420
Pt2 Pt 0.5104 0.5104 0.5169

---

# PBE-GGA NaThSb2O8, relaxed
# DOS(E_F), states/eV/f.u.: 8.741
# Uncorrected energy, eV/atom: -6.56
# Formation energy without anion corrections, eV per atom: -1.835
data_NaThSb2O8
_cell_length_a 6.8072
_cell_length_b 6.8072
_cell_length_c 6.8072
_cell_angle_alpha 133.02
_cell_angle_beta 133.02
_cell_angle_gamma 68.62
_symmetry_space_group_name_H-M 'P 1'
_symmetry_Int_Tables_number 1
_symmetry_space_group_name_Hall 'P 1'
loop_
_atom_site_label
_atom_site_type_symbol
_atom_site_fract_x
_atom_site_fract_y
_atom_site_fract_z
Na1 Na 0.0000 0.0000 0.0000
Th1 Th 0.2500 0.7500 0.5000
Sb1 Sb 0.5000 0.5000 0.0000
Sb2 Sb 0.7500 0.2500 0.5000
O1 O 0.0280 0.0998 0.4538
O2 O 0.2350 0.6517 0.0723
O3 O 0.3483 0.4207 0.5833
O4 O 0.4258 0.9720 0.0718
O5 O 0.5793 0.1627 0.9277
O6 O 0.6460 0.5742 0.5462
O7 O 0.8373 0.7650 0.4167
O8 O 0.9002 0.3540 0.9282

---

# PBE-GGA BaZnCo3, relaxed
# DOS(E_F), states/eV/f.u.: 6.113
# Uncorrected energy, eV/atom: -2.71
# Relative energy among the computed polymorphs, meV per atom: 1331.6
# Energy relative to the elements, eV per formula unit: 10.94
data_BaZnCo3
_cell_length_a 4.8540
_cell_length_b 4.8540
_cell_length_c 4.8540
_cell_angle_alpha 90.00
_cell_angle_beta 90.00
_cell_angle_gamma 90.00
_symmetry_space_group_name_H-M 'P 1'
_symmetry_Int_Tables_number 1
_symmetry_space_group_name_Hall 'P 1'
loop_
_atom_site_label
_atom_site_type_symbol
_atom_site_fract_x
_atom_site_fract_y
_atom_site_fract_z
Ba1 Ba 0.0000 0.0000 0.0000
Zn1 Zn 0.5000 0.5000 0.5000
Co1 Co 0.0000 0.0000 0.5000
Co2 Co 0.0000 0.5000 0.0000
Co3 Co 0.5000 0.0000 0.0000

---

# PBE-GGA ZrSnMo, relaxed
# DOS(E_F), states/eV/f.u.: 2.172
# Uncorrected energy, eV/atom: -8.02
# Energy relative to the elements, eV per formula unit: -0.67
data_ZrSnMo
_cell_length_a 7.8807
_cell_length_b 7.8807
_cell_length_c 7.8807
_cell_angle_alpha 149.78
_cell_angle_beta 149.78
_cell_angle_gamma 43.27
_symmetry_space_group_name_H-M 'P 1'
_symmetry_Int_Tables_number 1
_symmetry_space_group_name_Hall 'P 1'
loop_
_atom_site_label
_atom_site_type_symbol
_atom_site_fract_x
_atom_site_fract_y
_atom_site_fract_z
Zr1 Zr 0.1580 0.1580 0.0000
Zr2 Zr 0.8420 0.8420 0.0000
Sn1 Sn 0.3629 0.3629 0.0000
Sn2 Sn 0.6371 0.6371 0.0000
Mo1 Mo 0.0000 0.5000 0.5000
Mo2 Mo 0.5000 0.0000 0.5000

---

# PBE-GGA Fe3Ir12Rh, relaxed
# DOS(E_F), states/eV/f.u.: 19.662
# Uncorrected energy, eV/atom: -8.72
# Energy relative to the elements, eV per formula unit: -0.38
data_Fe3Ir12Rh
_cell_length_a 3.8408
_cell_length_b 3.8408
_cell_length_c 15.3144
_cell_angle_alpha 90.00
_cell_angle_beta 90.00
_cell_angle_gamma 90.00
_symmetry_space_group_name_H-M 'P 1'
_symmetry_Int_Tables_number 1
_symmetry_space_group_name_Hall 'P 1'
loop_
_atom_site_label
_atom_site_type_symbol
_atom_site_fract_x
_atom_site_fract_y
_atom_site_fract_z
Fe1 Fe 0.0000 0.0000 0.0000
Fe2 Fe 0.0000 0.0000 0.2506
Fe3 Fe 0.0000 0.0000 0.7494
Ir1 Ir 0.0000 0.5000 0.1246
Ir2 Ir 0.0000 0.5000 0.3726
Ir3 Ir 0.0000 0.5000 0.6274
Ir4 Ir 0.0000 0.5000 0.8754
Ir5 Ir 0.5000 0.0000 0.1246
Ir6 Ir 0.5000 0.0000 0.3726
Ir7 Ir 0.5000 0.0000 0.6274
Ir8 Ir 0.5000 0.0000 0.8754
Ir9 Ir 0.5000 0.5000 0.0000
Ir10 Ir 0.5000 0.5000 0.2490
Ir11 Ir 0.5000 0.5000 0.5000
Ir12 Ir 0.5000 0.5000 0.7510
Rh1 Rh 0.0000 0.0000 0.5000

---

# PBE-GGA YBiP3, relaxed
# DOS(E_F), states/eV/f.u.: 3.250
# Uncorrected energy, eV/atom: -4.66
# Relative energy among the computed polymorphs, meV per atom: 60.3
# Energy relative to the elements, eV per formula unit: 3.28
data_YBiP3
_cell_length_a 5.1307
_cell_length_b 5.1307
_cell_length_c 5.1307
_cell_angle_alpha 90.00
_cell_angle_beta 90.00
_cell_angle_gamma 90.00
_symmetry_space_group_name_H-M 'P 1'
_symmetry_Int_Tables_number 1
_symmetry_space_group_name_Hall 'P 1'
loop_
_atom_site_label
_atom_site_type_symbol
_atom_site_fract_x
_atom_site_fract_y
_atom_site_fract_z
Y1 Y 0.0000 0.0000 0.0000
Bi1 Bi 0.5000 0.5000 0.5000
P1 P 0.0000 0.5000 0.5000
P2 P 0.5000 0.0000 0.5000
P3 P 0.5000 0.5000 0.0000

---

# PBE-GGA Ti7Pb2O2, relaxed
# DOS(E_F), states/eV/f.u.: 10.841
# Uncorrected energy, eV/atom: -7.33
# Formation energy without anion corrections, eV per atom: -0.726
data_Ti7Pb2O2
_cell_length_a 6.0048
_cell_length_b 6.0048
_cell_length_c 5.6146
_cell_angle_alpha 92.86
_cell_angle_beta 92.86
_cell_angle_gamma 102.39
_symmetry_space_group_name_H-M 'P 1'
_symmetry_Int_Tables_number 1
_symmetry_space_group_name_Hall 'P 1'
loop_
_atom_site_label
_atom_site_type_symbol
_atom_site_fract_x
_atom_site_fract_y
_atom_site_fract_z
Ti1 Ti 0.0000 0.0000 0.0000
Ti2 Ti 0.1817 0.5056 0.8362
Ti3 Ti 0.3595 0.3595 0.3240
Ti4 Ti 0.4944 0.8183 0.1638
Ti5 Ti 0.5056 0.1817 0.8362
Ti6 Ti 0.6405 0.6405 0.6760
Ti7 Ti 0.8183 0.4944 0.1638
Pb1 Pb 0.1671 0.8329 0.5000
Pb2 Pb 0.8329 0.1671 0.5000
O1 O 0.2535 0.2535 0.9968
O2 O 0.7465 0.7465 0.0032